1.
First-principles (PBE-GGA) data for a relaxed Rb3HgSe2 crystal, as listed in Alexandria.

Summary:
The volume comes out at 264.8 Å³/f.u. The uncorrected formation energy is -775.1 meV per atom. Its symmetry is Ibam (72).

Cell: 7.9463 8.7748 9.6283 Å, 117.11 114.37 90.00°
With the nearest neighbours (Å) after each atom.
Sites, in units of the cell vectors:
Rb (0.5000, 0.2500, 0.0000)  4 Se 3.47
Rb (0.5000, 0.7500, 0.0000)  4 Se 3.47
Rb (0.7728, 0.0228, 0.5456)  4 Se 3.41-3.59
Rb (0.2272, 0.4772, 0.4544)  4 Se 3.41-3.59
Rb (0.2272, 0.9772, 0.4544)  4 Se 3.41-3.59
Rb (0.7728, 0.5228, 0.5456)  4 Se 3.41-3.59
Hg (0.0000, 0.5000, 0.0000)  2 Se 2.92
Hg (0.0000, 0.0000, 0.0000)  2 Se 2.92
Se (0.5999, 0.3700, 0.7400)  1 Hg 2.92
Se (0.8599, 0.1300, 0.2600)  1 Hg 2.92
Se (0.1401, 0.8700, 0.7400)  1 Hg 2.92
Se (0.4001, 0.6300, 0.2600)  1 Hg 2.92

2.
First-principles (PBE-GGA) data for a relaxed Sr2NdPbO4 crystal, as listed in Alexandria.

Summary:
The volume comes out at 149.8 Å³/f.u. The uncorrected formation energy is -2313.6 meV per atom. Its symmetry is P2/m (10).

Cell: 3.5387 7.3835 6.6277 Å, 120.08 90.00 90.00°
With the nearest neighbours (Å) after each atom.
Sites, in units of the cell vectors:
Sr (0.5000, 0.0000, 0.5000)  4 O 2.59
Sr (0.0000, 0.5000, 0.5000)  6 O 2.53-2.63
Nd (0.5000, 0.5000, 0.0000)  6 O 2.38-2.46
Pb (0.0000, 0.0000, 0.0000)  4 O 2.62
O (0.5000, 0.3022, 0.1947)  1 Nd 2.38, 2 Sr 2.53, 2 Pb 2.62
O (0.5000, 0.6978, 0.8053)  1 Nd 2.38, 2 Sr 2.53, 2 Pb 2.62
O (0.0000, 0.2901, 0.7234)  2 Nd 2.46, 3 Sr 2.59-2.63
O (0.0000, 0.7099, 0.2766)  2 Nd 2.46, 3 Sr 2.59-2.63